Record 1
DFT (PBE-GGA) results for a relaxed Sc5GaPb4 crystal.

As for the crystal system: tetragonal. As for the formation enthalpy at 0 K: -0.211 eV/atom. The value obtained for the total energy is -103.25 eV for the cell shown.

The structure belongs to space group I4/mmm (No. 139); the cell edges are 9.9334, 9.9334 and 5.1617 Å and the angles 90.00°, 90.00° and 90.00°. Symmetry generates all atoms from Sc at (0.0000, 0.0000, 0.0000), Sc at (0.1867, 0.1867, 0.5000), Ga at (0.0000, 0.0000, 0.5000) and Pb at (0.0000, 0.3099, 0.0000).

Record 2
DFT (PBE-GGA) results for a relaxed Sc2GaPb crystal.

As for the crystal system: tetragonal. As for the formation enthalpy at 0 K: -0.409 eV/atom. The value obtained for the total energy is -21.03 eV for the cell shown.

The structure belongs to space group P4/mmm (No. 123); the cell edges are 4.5284, 4.5284 and 4.2490 Å and the angles 90.00°, 90.00° and 90.00°. Symmetry generates all atoms from Sc at (0.0000, 0.5000, 0.0000), Ga at (0.0000, 0.0000, 0.5000) and Pb at (0.5000, 0.5000, 0.5000).

Record 3
DFT (PBE-GGA) results for a relaxed ScGaPb2 crystal.

As for the crystal system: tetragonal. As for the formation enthalpy at 0 K: 0.023 eV/atom. The value obtained for the total energy is -66.73 eV for the cell shown.

The structure belongs to space group I-42d (No. 122); the cell edges are 8.1452, 8.1452 and 6.2904 Å and the angles 90.00°, 90.00° and 90.00°. Symmetry generates all atoms from Sc at (0.0000, 0.0000, 0.0000), Ga at (0.0000, 0.0000, 0.5000) and Pb at (0.2247, 0.2500, 0.6250).

Record 4
DFT (PBE-GGA) results for a relaxed ScGa2Pb crystal.

As for the crystal system: tetragonal. As for the formation enthalpy at 0 K: -0.055 eV/atom. The value obtained for the total energy is -65.25 eV for the cell shown.

The structure belongs to space group I-42d (No. 122); the cell edges are 7.9015, 7.9015 and 5.9421 Å and the angles 90.00°, 90.00° and 90.00°. Symmetry generates all atoms from Sc at (0.0000, 0.0000, 0.0000), Ga at (0.2498, 0.2500, 0.1250) and Pb at (0.0000, 0.0000, 0.5000).

Record 5
DFT (PBE-GGA) results for a relaxed Sc2GaPb crystal.

As for the crystal system: tetragonal. As for the formation enthalpy at 0 K: -0.432 eV/atom. The value obtained for the total energy is -21.13 eV for the cell shown.

The structure belongs to space group P4/mmm (No. 123); the cell edges are 3.2668, 3.2668 and 8.2374 Å and the angles 90.00°, 90.00° and 90.00°. Symmetry generates all atoms from Sc at (0.0000, 0.0000, 0.2211), Ga at (0.5000, 0.5000, 0.0000) and Pb at (0.5000, 0.5000, 0.5000).

Record 6
DFT (PBE-GGA) results for a relaxed Sc2Ga2Pb crystal.

As for the crystal system: tetragonal. As for the formation enthalpy at 0 K: -0.137 eV/atom. Its excess energy over the best structure of this formula in the dataset is 1.47 eV per formula unit. The value obtained for the total energy is -46.22 eV for the cell shown.

The structure belongs to space group I4/mmm (No. 139); the cell edges are 4.5991, 4.5991 and 11.3185 Å and the angles 90.00°, 90.00° and 90.00°. Symmetry generates all atoms from Sc at (0.0000, 0.5000, 0.2500), Ga at (0.0000, 0.0000, 0.1062) and Pb at (0.0000, 0.0000, 0.5000).

Record 7
DFT (PBE-GGA) results for a relaxed Sc5Ga2Pb crystal.

As for the crystal system: tetragonal. As for the formation enthalpy at 0 K: -0.518 eV/atom. The value obtained for the total energy is -182.25 eV for the cell shown.

The structure belongs to space group I4/mcm (No. 140); the cell edges are 7.4061, 7.4061 and 12.8874 Å and the angles 90.00°, 90.00° and 90.00°. Symmetry generates all atoms from Sc at (0.0000, 0.0000, 0.0000), Sc at (0.1580, 0.3420, 0.1433), Ga at (0.1362, 0.3638, 0.5000) and Pb at (0.0000, 0.0000, 0.2500).

Record 8
DFT (PBE-GGA) results for a relaxed Sc2Ga2Pb crystal.

As for the crystal system: tetragonal. As for the formation enthalpy at 0 K: -0.284 eV/atom. Its excess energy over the best structure of this formula in the dataset is 0.74 eV per formula unit. The value obtained for the total energy is -47.69 eV for the cell shown.

The structure belongs to space group P4/mbm (No. 127); the cell edges are 8.0984, 8.0984 and 3.3660 Å and the angles 90.00°, 90.00° and 90.00°. Symmetry generates all atoms from Sc at (0.1332, 0.3668, 0.0000), Ga at (0.1722, 0.6722, 0.5000) and Pb at (0.0000, 0.0000, 0.0000).

Record 9
DFT (PBE-GGA) results for a relaxed Sc7Ga5Pb crystal.

As for the crystal system: orthorhombic. As for the formation enthalpy at 0 K: -0.372 eV/atom. The value obtained for the total energy is -136.00 eV for the cell shown.

The structure belongs to space group Imm2 (No. 44); the cell edges are 5.6726, 10.0390 and 9.6543 Å and the angles 90.00°, 90.00° and 90.00°. Symmetry generates all atoms from Sc at (0.0000, 0.0000, 0.0000), Sc at (0.0000, 0.0000, 0.3504), Sc at (0.0000, 0.3290, 0.0843), Sc at (0.0000, 0.3338, 0.6097), Sc at (0.0000, 0.5000, 0.3401), Ga at (0.0000, 0.5000, 0.8448), Ga at (0.2464, 0.2595, 0.3523) and Pb at (0.0000, 0.0000, 0.6661).

Record 10
DFT (PBE-GGA) results for a relaxed Sc2GaPb crystal.

As for the crystal system: tetragonal. As for the formation enthalpy at 0 K: -0.174 eV/atom. The value obtained for the total energy is -80.38 eV for the cell shown.

The structure belongs to space group I-42d (No. 122); the cell edges are 7.7236, 7.7236 and 6.3602 Å and the angles 90.00°, 90.00° and 90.00°. Symmetry generates all atoms from Sc at (0.2295, 0.2500, 0.1250), Ga at (0.0000, 0.0000, 0.0000) and Pb at (0.0000, 0.0000, 0.5000).

Record 11
DFT (PBE-GGA) results for a relaxed Sc6Ga3Pb crystal.

As for the crystal system: orthorhombic. As for the formation enthalpy at 0 K: -0.479 eV/atom. The value obtained for the total energy is -222.27 eV for the cell shown.

The structure belongs to space group Cmcm (No. 63); the cell edges are 10.4482, 10.5047 and 7.9619 Å and the angles 90.00°, 90.00° and 90.00°. Symmetry generates all atoms from Sc at (0.0000, 0.1645, 0.0073), Sc at (0.1844, 0.5000, 0.0000), Sc at (0.2430, 0.2534, 0.2500), Ga at (0.0000, 0.3675, 0.2500), Ga at (0.1247, 0.0027, 0.7500) and Pb at (0.0000, 0.3702, 0.7500).

Record 12
DFT (PBE-GGA) results for a relaxed Sc2GaPb crystal.

As for the crystal system: monoclinic. As for the formation enthalpy at 0 K: -0.460 eV/atom. The value obtained for the total energy is -42.48 eV for the cell shown.

The structure belongs to space group P2_1/m (No. 11); the cell edges are 5.7541, 4.0204 and 8.2846 Å and the angles 90.00°, 107.96° and 90.00°. Symmetry generates all atoms from Sc at (0.1795, 0.2500, 0.4283), Sc at (0.2680, 0.7500, 0.0535), Ga at (0.1053, 0.2500, 0.7909) and Pb at (0.4022, 0.7500, 0.7101).

Record 13
DFT (PBE-GGA) results for a relaxed Sc6Ga2Pb crystal.

As for the crystal system: orthorhombic. As for the formation enthalpy at 0 K: -0.421 eV/atom. The value obtained for the total energy is -206.16 eV for the cell shown.

The structure belongs to space group Immm (No. 71); the cell edges are 8.9626, 8.9799 and 10.0990 Å and the angles 90.00°, 90.00° and 90.00°. Symmetry generates all atoms from Sc at (0.0000, 0.2023, 0.1807), Sc at (0.1885, 0.2176, 0.5000), Sc at (0.2072, 0.5000, 0.2573), Ga at (0.0000, 0.0000, 0.3765), Ga at (0.1492, 0.0000, 0.0000), Pb at (0.0000, 0.5000, 0.0000) and Pb at (0.0000, 0.5000, 0.5000).

Record 14
DFT (PBE-GGA) results for a relaxed ScGaPb2 crystal.

As for the crystal system: tetragonal. As for the formation enthalpy at 0 K: -0.158 eV/atom. The value obtained for the total energy is -17.41 eV for the cell shown.

The structure belongs to space group P4/mmm (No. 123); the cell edges are 4.6224, 4.6224 and 4.6175 Å and the angles 90.00°, 90.00° and 90.00°. Symmetry generates all atoms from Sc at (0.0000, 0.0000, 0.0000), Ga at (0.5000, 0.5000, 0.0000) and Pb at (0.0000, 0.5000, 0.5000).

Record 15
DFT (PBE-GGA) results for a relaxed Sc2GaPbSe crystal.

As for the crystal system: tetragonal. The calculation puts the formation energy (no corrections) at 0.384 eV/atom. The value obtained for the total energy is -20.96 eV for the cell shown.

The structure belongs to space group P4/mmm (No. 123); the cell edges are 5.5288, 5.5288 and 5.1511 Å and the angles 90.00°, 90.00° and 90.00°. Symmetry generates all atoms from Sc at (0.0000, 0.5000, 0.0000), Ga at (0.0000, 0.0000, 0.5000), Pb at (0.0000, 0.0000, 0.0000) and Se at (0.5000, 0.5000, 0.5000).

Record 16
DFT (PBE-GGA) results for a relaxed ZrScGaPb2 crystal.

As for the crystal system: tetragonal. As for the formation enthalpy at 0 K: 0.534 eV/atom. The value obtained for the total energy is -22.65 eV for the cell shown.

The structure belongs to space group P4/mmm (No. 123); the cell edges are 5.3295, 5.3295 and 5.1791 Å and the angles 90.00°, 90.00° and 90.00°. Symmetry generates all atoms from Zr at (0.0000, 0.0000, 0.0000), Sc at (0.5000, 0.5000, 0.0000), Ga at (0.0000, 0.0000, 0.5000) and Pb at (0.0000, 0.5000, 0.5000).

Record 17
DFT (PBE-GGA) results for a relaxed GaPb2Se2 crystal.

As for the crystal system: tetragonal. The calculation puts the formation energy (no corrections) at -0.169 eV/atom. Its excess energy over the best structure of this formula in the dataset is 0.42 eV per formula unit. The value obtained for the total energy is -36.51 eV for the cell shown.

The structure belongs to space group P4/mbm (No. 127); the cell edges are 8.2500, 8.2500 and 4.0913 Å and the angles 90.00°, 90.00° and 90.00°. Symmetry generates all atoms from Ga at (0.0000, 0.0000, 0.0000), Pb at (0.1482, 0.3518, 0.0000) and Se at (0.1667, 0.6667, 0.5000).

Record 18
DFT (PBE-GGA) results for a relaxed GaPbSe2 crystal.

As for the crystal system: tetragonal. The calculation puts the formation energy (no corrections) at -0.340 eV/atom. The value obtained for the total energy is -60.25 eV for the cell shown.

The structure belongs to space group I-42d (No. 122); the cell edges are 7.1323, 7.1323 and 9.4920 Å and the angles 90.00°, 90.00° and 90.00°. Symmetry generates all atoms from Ga at (0.0000, 0.0000, 0.0000), Pb at (0.0000, 0.0000, 0.5000) and Se at (0.1985, 0.7500, 0.1250).

Record 19
DFT (PBE-GGA) results for a relaxed GaPbSe crystal.

As for the crystal system: monoclinic. The calculation puts the formation energy (no corrections) at -0.111 eV/atom. Its excess energy over the best structure of this formula in the dataset is 0.30 eV per formula unit. The value obtained for the total energy is -21.11 eV for the cell shown.

The structure belongs to space group P2_1/m (No. 11); the cell edges are 5.1868, 5.0361 and 6.7895 Å and the angles 90.00°, 91.85° and 90.00°. Symmetry generates all atoms from Ga at (0.0000, 0.0000, 0.0000), Pb at (0.4697, 0.2500, 0.7484) and Se at (0.2493, 0.2500, 0.3468).

Record 20
DFT (PBE-GGA) results for a relaxed Ga2PbSe4 crystal.

As for the crystal system: orthorhombic. The calculation puts the formation energy (no corrections) at -0.593 eV/atom. Its excess energy over the best structure of this formula in the dataset is 0.05 eV per formula unit. The value obtained for the total energy is -111.40 eV for the cell shown.

The structure belongs to space group Cccm (No. 66); the cell edges are 6.3455, 10.9470 and 11.0040 Å and the angles 90.00°, 90.00° and 90.00°. Symmetry generates all atoms from Ga at (0.0016, 0.2380, 0.0000), Pb at (0.0000, 0.5000, 0.2500), Se at (0.2312, 0.4199, 0.5000) and Se at (0.2500, 0.2500, 0.1705).